[1]
This record from the Alexandria database describes a relaxed structure of Al4Ag5. The functional is GGA-PBE.

The space group is I4/mmm (No. 139) and the conventional cell measures 10.2802, 10.2802 and 2.9602 Å, with angles of 90.00, 90.00 and 90.00 degrees. The asymmetric unit holds Al at (0.0000, 0.3306, 0.0000), Ag at (0.0000, 0.0000, 0.0000) and Ag at (0.1664, 0.1664, 0.5000).

The energy of formation from the pure elements comes out at 30 meV per atom. As for the energy above the most stable polymorph in this dataset: 63 meV per atom.


[2]
This record from the Alexandria database describes a relaxed structure of Al4Ag5. The functional is GGA-PBE.

The space group is I4/mmm (No. 139) and the conventional cell measures 9.0391, 9.0391 and 3.7378 Å, with angles of 90.00, 90.00 and 90.00 degrees. The asymmetric unit holds Al at (0.1645, 0.1645, 0.0000), Ag at (0.0000, 0.0000, 0.5000) and Ag at (0.0000, 0.3244, 0.5000).

The energy of formation from the pure elements comes out at -13 meV per atom. As for the energy above the most stable polymorph in this dataset: 19 meV per atom.


[3]
This record from the Alexandria database describes a relaxed structure of Al5Ag4. The functional is GGA-PBE.

The space group is Cm (No. 8) and the conventional cell measures 9.5837, 3.9921 and 8.3743 Å, with angles of 90.00, 107.48 and 90.00 degrees. The asymmetric unit holds Al at (0.0000, 0.0000, 0.0000), Al at (0.0114, 0.0000, 0.3383), Al at (0.1727, 0.5000, 0.2330), Al at (0.1847, 0.5000, 0.5670), Al at (0.3467, 0.0000, 0.4534), Ag at (0.0114, 0.0000, 0.6591), Ag at (0.1708, 0.5000, 0.9055), Ag at (0.3423, 0.0000, 0.7814) and Ag at (0.3447, 0.0000, 0.1325).

The energy of formation from the pure elements comes out at -27 meV per atom. As for the energy above the most stable polymorph in this dataset: 3 meV per atom.


[4]
This record from the Alexandria database describes a relaxed structure of Al2Ag3. The functional is GGA-PBE.

The space group is P2_1/m (No. 11) and the conventional cell measures 5.1466, 2.9155 and 11.6025 Å, with angles of 90.00, 98.69 and 90.00 degrees. The asymmetric unit holds Al at (0.1592, 0.2500, 0.2027), Al at (0.2409, 0.7500, 0.0006), Ag at (0.0493, 0.7500, 0.3934), Ag at (0.3529, 0.2500, 0.8132) and Ag at (0.4499, 0.7500, 0.6031).

The energy of formation from the pure elements comes out at -14 meV per atom. As for the energy above the most stable polymorph in this dataset: 31 meV per atom.


[5]
This record from the Alexandria database describes a relaxed structure of Al5Ag3. The functional is GGA-PBE.

The space group is Cmmm (No. 65) and the conventional cell measures 7.9057, 11.2441 and 3.0478 Å, with angles of 90.00, 90.00 and 90.00 degrees. The asymmetric unit holds Al at (0.0000, 0.0000, 0.0000), Al at (0.2494, 0.3772, 0.5000), Ag at (0.0000, 0.2435, 0.0000) and Ag at (0.0000, 0.5000, 0.0000).

The energy of formation from the pure elements comes out at -2 meV per atom. As for the energy above the most stable polymorph in this dataset: 37 meV per atom.


[6]
This record from the Alexandria database describes a relaxed structure of AlAg. The functional is GGA-PBE.

The space group is Pbcm (No. 57) and the conventional cell measures 8.6728, 8.9303 and 5.4388 Å, with angles of 90.00, 90.00 and 90.00 degrees. The asymmetric unit holds Al at (0.1158, 0.1213, 0.2500), Al at (0.3666, 0.2500, 0.0000), Al at (0.3778, 0.6502, 0.2500), Ag at (0.1225, 0.7500, 0.0000), Ag at (0.1487, 0.0591, 0.7500) and Ag at (0.3837, 0.5448, 0.7500).

The energy of formation from the pure elements comes out at 39 meV per atom.


[7]
This record from the Alexandria database describes a relaxed structure of Al7Ag5. The functional is GGA-PBE.

The space group is P2/m (No. 10) and the conventional cell measures 5.9815, 3.9722 and 9.0525 Å, with angles of 90.00, 109.00 and 90.00 degrees. The asymmetric unit holds Al at (0.0000, 0.0000, 0.0000), Al at (0.1626, 0.5000, 0.8337), Al at (0.1685, 0.0000, 0.3365), Al at (0.3286, 0.5000, 0.1659), Ag at (0.0000, 0.5000, 0.5000), Ag at (0.3365, 0.0000, 0.6733), Ag at (0.5000, 0.0000, 0.0000) and Ag at (0.5000, 0.5000, 0.5000).

The energy of formation from the pure elements comes out at -18 meV per atom. As for the energy above the most stable polymorph in this dataset: 11 meV per atom.


[8]
This record from the Alexandria database describes a relaxed structure of Al5Ag2. The functional is GGA-PBE.

The space group is P-1 (No. 2) and the conventional cell measures 4.0433, 4.8569 and 6.6099 Å, with angles of 95.94, 91.65 and 111.89 degrees. The asymmetric unit holds Al at (0.0000, 0.0000, 0.0000), Al at (0.1448, 0.2863, 0.4259), Al at (0.2877, 0.5745, 0.8574) and Ag at (0.4231, 0.8481, 0.2865).

The energy of formation from the pure elements comes out at 20 meV per atom. As for the energy above the most stable polymorph in this dataset: 46 meV per atom.


[9]
This record from the Alexandria database describes a relaxed structure of Al2Ag3. The functional is GGA-PBE.

The space group is P-1 (No. 2) and the conventional cell measures 2.9968, 3.8947 and 7.6485 Å, with angles of 104.70, 100.77 and 90.21 degrees. The asymmetric unit holds Al at (0.1026, 0.1014, 0.2030), Ag at (0.3017, 0.3034, 0.6073) and Ag at (0.5000, 0.5000, 0.0000).

The energy of formation from the pure elements comes out at -30 meV per atom. As for the energy above the most stable polymorph in this dataset: 14 meV per atom.


[10]
This record from the Alexandria database describes a relaxed structure of Al3Ag2. The functional is GGA-PBE.

The space group is C2/m (No. 12) and the conventional cell measures 9.0421, 2.9885 and 7.2455 Å, with angles of 90.00, 119.44 and 90.00 degrees. The asymmetric unit holds Al at (0.0000, 0.0000, 0.0000), Al at (0.0992, 0.5000, 0.3911) and Ag at (0.1952, 0.0000, 0.7900).

The energy of formation from the pure elements comes out at -8 meV per atom. As for the energy above the most stable polymorph in this dataset: 22 meV per atom.


[11]
This record from the Alexandria database describes a relaxed structure of Al5Ag3. The functional is GGA-PBE.

The space group is C2 (No. 5) and the conventional cell measures 5.6547, 8.1823 and 6.4952 Å, with angles of 90.00, 115.78 and 90.00 degrees. The asymmetric unit holds Al at (0.0000, 0.0002, 0.0000), Al at (0.1239, 0.7503, 0.7436), Al at (0.2503, 0.0000, 0.4999), Ag at (0.0000, 0.4992, 0.0000) and Ag at (0.1269, 0.2501, 0.7491).

The energy of formation from the pure elements comes out at -13 meV per atom. As for the energy above the most stable polymorph in this dataset: 27 meV per atom.


[12]
This record from the Alexandria database describes a relaxed structure of AlAg2. The functional is GGA-PBE.

The space group is Fd-3m (No. 227, origin choice 2) and the conventional cell measures 7.7043, 7.7043 and 7.7043 Å, with angles of 90.00, 90.00 and 90.00 degrees. The asymmetric unit holds Al at (0.1250, 0.1250, 0.1250) and Ag at (0.0000, 0.0000, 0.5000).

The energy of formation from the pure elements comes out at 217 meV per atom.